## 1
Below is a relaxed TmMg4Cd2 crystal, with properties calculated at the PBE level.

* size of the total moment: 0.0 μB per cell
* space group: No. 12

```
TmMg4Cd2
1.0
5.428 1.531 -2.168
1.029 5.545 -2.168
-1.717 -1.882 7.218
Tm Mg Cd
1 4 2
Direct
0.000 0.000 0.000
0.750 0.250 0.500
0.250 0.750 0.500
0.500 0.000 0.000
0.000 0.500 0.000
0.651 0.651 0.304
0.349 0.349 0.696
```

=====

## 2
Below is a relaxed TmMg4Cd2 crystal, with properties calculated at the PBE level.

* size of the total moment: 0.0 μB per cell
* space group: No. 136

```
TmMg4Cd2
1.0
4.691 0.000 0.000
0.000 8.387 0.000
0.000 0.000 8.387
Tm Mg Cd
2 8 4
Direct
0.500 0.000 0.000
0.000 0.500 0.500
0.000 0.104 0.352
0.000 0.896 0.648
0.500 0.148 0.604
0.500 0.852 0.396
0.500 0.396 0.852
0.500 0.604 0.148
0.000 0.352 0.104
0.000 0.648 0.896
0.000 0.202 0.798
0.000 0.798 0.202
0.500 0.702 0.702
0.500 0.298 0.298
```

=====

Result of the stability comparison: 1 is the least stable of them.

=====

## 1
Below is a relaxed Tm3Mg2Cd7 crystal, with properties calculated at the PBE level.

* size of the total moment: 0.0 μB per cell
* space group: No. 10

```
Tm3Mg2Cd7
1.0
-2.157 1.627 -3.804
-2.490 -4.480 -0.503
-9.184 4.324 7.057
Tm Mg Cd
3 2 7
Direct
0.500 0.500 0.000
0.000 0.001 0.330
0.000 0.999 0.670
0.500 0.501 0.290
0.500 0.499 0.710
0.500 0.250 0.500
0.500 0.750 0.500
0.000 0.500 0.160
0.000 0.000 0.000
0.000 0.500 0.840
0.500 0.999 0.844
0.500 0.001 0.156
```

=====

## 2
Below is a relaxed Tm3Mg2Cd7 crystal, with properties calculated at the PBE level.

* size of the total moment: 0.0 μB per cell
* space group: No. 10

```
Tm3Mg2Cd7
1.0
3.454 0.000 0.000
0.000 5.053 -0.218
0.000 -3.235 16.960
Tm Mg Cd
3 2 7
Direct
0.500 0.500 0.000
0.000 0.154 0.376
0.000 0.846 0.624
0.500 0.583 0.290
0.500 0.417 0.710
0.500 0.716 0.457
0.500 0.284 0.543
0.000 0.475 0.148
0.000 0.000 0.000
0.000 0.525 0.852
0.500 0.985 0.799
0.500 0.015 0.201
```

=====

Result of the stability comparison: 1 is the least stable of them.

=====

## 1
Below is a relaxed Tm2Mg3Cd4 crystal, with properties calculated at the PBE level.

* size of the total moment: 0.0 μB per cell
* space group: No. 12

```
Tm2Mg3Cd4
1.0
5.049 0.001 0.000
2.524 4.363 0.154
-0.003 -0.369 9.468
Tm Mg Cd
2 3 4
Direct
0.334 0.333 0.786
0.666 0.667 0.214
0.333 0.334 0.431
0.000 0.000 0.000
0.667 0.666 0.569
0.667 0.667 0.893
0.999 0.001 0.342
0.001 0.999 0.658
0.333 0.333 0.107
```

=====

## 2
Below is a relaxed Tm2Mg3Cd4 crystal, with properties calculated at the PBE level.

* size of the total moment: 0.0 μB per cell
* space group: No. 64

```
Tm2Mg3Cd4
1.0
-3.639 0.916 4.839
0.237 -7.914 1.677
8.767 0.807 2.566
Tm Mg Cd
4 6 8
Direct
0.093 0.606 0.186
0.907 0.394 0.814
0.407 0.106 0.814
0.593 0.894 0.186
0.000 0.000 0.000
0.500 0.500 0.000
0.510 0.750 0.520
0.990 0.250 0.480
0.490 0.250 0.480
0.010 0.750 0.520
0.680 0.750 0.861
0.820 0.250 0.139
0.320 0.250 0.139
0.180 0.750 0.861
0.165 0.977 0.330
0.835 0.023 0.670
0.335 0.477 0.670
0.665 0.523 0.330
```

=====

Result of the stability comparison: 2 is the least stable of them.

=====

## 1
Below is a relaxed Tm2MgCd4 crystal, with properties calculated at the PBE level.

* size of the total moment: 0.0 μB per cell
* space group: No. 166

```
Tm2MgCd4
1.0
4.782 0.000 1.494
2.157 4.267 1.494
-0.111 -0.068 8.754
Tm Mg Cd
2 1 4
Direct
0.748 0.748 0.757
0.252 0.252 0.243
0.000 0.000 0.000
0.872 0.872 0.384
0.128 0.128 0.616
0.622 0.622 0.134
0.378 0.378 0.866
```

=====

## 2
Below is a relaxed Tm2MgCd4 crystal, with properties calculated at the PBE level.

* size of the total moment: 0.0 μB per cell
* space group: No. 139

```
Tm2MgCd4
1.0
-3.873 -3.398 0.192
2.854 -3.083 2.989
-2.268 6.761 4.693
Tm Mg Cd
2 1 4
Direct
0.615 0.615 0.231
0.385 0.385 0.769
0.000 0.000 0.000
0.814 0.814 0.627
0.186 0.186 0.373
0.000 0.500 0.000
0.500 0.000 0.000
```

=====

Result of the stability comparison: 2 is the least stable of them.

=====

## 1
Below is a relaxed Tm2Mg3Cd3 crystal, with properties calculated at the PBE level.

* size of the total moment: 0.0 μB per cell
* space group: No. 47

```
Tm2Mg3Cd3
1.0
4.826 0.000 0.000
0.000 4.540 0.000
0.000 0.000 8.687
Tm Mg Cd
2 3 3
Direct
0.000 0.000 0.748
0.000 0.000 0.252
0.500 0.500 0.744
0.500 0.500 0.256
0.500 0.000 0.000
0.500 0.000 0.500
0.000 0.500 0.000
0.000 0.500 0.500
```

=====

## 2
Below is a relaxed Tm2Mg3Cd3 crystal, with properties calculated at the PBE level.

* size of the total moment: 0.0 μB per cell
* space group: No. 160

```
Tm2Mg3Cd3
1.0
4.854 0.000 1.463
2.207 4.324 1.463
-0.002 -0.001 8.792
Tm Mg Cd
2 3 3
Direct
0.003 0.003 0.991
0.497 0.497 0.508
0.249 0.249 0.253
0.751 0.751 0.748
0.624 0.624 0.128
0.126 0.126 0.623
0.879 0.879 0.364
0.372 0.372 0.885
```

=====

Result of the stability comparison: 1 is the least stable of them.

=====

## 1
Below is a relaxed TmMg3Cd2 crystal, with properties calculated at the PBE level.

* size of the total moment: 0.0 μB per cell
* space group: No. 12

```
TmMg3Cd2
1.0
-0.750 2.693 3.851
4.251 -4.632 7.008
7.806 1.101 3.691
Tm Mg Cd
2 6 4
Direct
0.113 0.819 0.955
0.887 0.181 0.045
0.700 0.069 0.531
0.072 0.295 0.561
0.380 0.505 0.735
0.620 0.495 0.265
0.928 0.705 0.439
0.300 0.931 0.469
0.520 0.165 0.795
0.480 0.835 0.205
0.239 0.349 0.172
0.761 0.651 0.828
```

=====

## 2
Below is a relaxed TmMg3Cd2 crystal, with properties calculated at the PBE level.

* size of the total moment: 0.0 μB per cell
* space group: No. 164

```
TmMg3Cd2
1.0
-2.992 -3.782 1.044
4.887 -0.673 -0.089
0.323 1.505 6.375
Tm Mg Cd
1 3 2
Direct
0.000 0.000 0.000
0.000 0.000 0.500
0.333 0.667 0.718
0.667 0.333 0.282
0.333 0.667 0.226
0.667 0.333 0.774
```

=====

Result of the stability comparison: 1 is the least stable of them.